No. 1
MgCoBiTe2 | PBE | optimized geometry

a = 5.4245 Å, b = 5.4245 Å, c = 5.4340 Å
α = 90.00°, β = 90.00°, γ = 90.00°
With the nearest neighbours (Å) after each atom.
Space group P4/mmm (No. 123)
Inequivalent atoms, fractional coordinates:
1 Mg 0.0000 0.0000 0.0000 [1 per cell]  4 Te 2.71, 2 Bi 2.72
2 Co 0.5000 0.5000 0.5000 [1 per cell]  4 Bi 3.84, 8 Te 3.84
3 Bi 0.0000 0.0000 0.5000 [1 per cell]  2 Mg 2.72
4 Te 0.0000 0.5000 0.0000 [2 per cell]  2 Mg 2.71

magnetization: 2.15 μB per formula unit
ΔE_f (raw): 939 meV per atom

No. 2
Pr2NdDyBi4 | PBE | optimized geometry

a = 7.9533 Å, b = 4.5964 Å, c = 7.9558 Å
α = 90.00°, β = 109.49°, γ = 90.00°
With the nearest neighbours (Å) after each atom.
Space group P2/m (No. 10)
Inequivalent atoms, fractional coordinates:
1 Pr 0.0000 0.0000 0.0000 [1 per cell]  6 Bi 3.26
2 Pr 0.0000 0.5000 0.5000 [1 per cell]  6 Bi 3.30
3 Nd 0.5000 0.0000 0.5000 [1 per cell]  6 Bi 3.24
4 Dy 0.5000 0.5000 0.0000 [1 per cell]  6 Bi 3.20
5 Bi 0.2550 0.5000 0.2477 [2 per cell]  1 Dy 3.20, 2 Nd 3.24, 3 Pr 3.26-3.30
6 Bi 0.2578 0.0000 0.7565 [2 per cell]  2 Dy 3.20, 1 Nd 3.24, 3 Pr 3.26-3.30

ΔE_f: -716 kJ/mol of formula units
magnetization: 0.00 μB per formula unit

No. 3
PuGa3Ni2 | PBE | optimized geometry

a = 5.6549 Å, b = 5.6549 Å, c = 22.0024 Å
α = 90.00°, β = 90.00°, γ = 120.00°
With the nearest neighbours (Å) after each atom.
Space group R-3m (No. 166, hexagonal axes)
Inequivalent atoms, fractional coordinates:
1 Pu 0.0000 0.0000 0.2023 [6 per cell]  9 Ga 3.01-3.09, 3 Ni 3.31
2 Ga 0.0069 0.5034 0.2492 [18 per cell]  3 Ni 2.46-2.49
3 Ni 0.0000 0.0000 0.0000 [3 per cell]  6 Ga 2.49
4 Ni 0.0000 0.5000 0.0000 [9 per cell]  4 Ga 2.46

ΔE_f: -117 kJ/mol of formula units
magnetization: 5.90 μB per formula unit

No. 4
Tl2GaAuS | PBE | optimized geometry

a = 5.5439 Å, b = 5.5439 Å, c = 4.7751 Å
α = 90.00°, β = 90.00°, γ = 90.00°
With the nearest neighbours (Å) after each atom.
Space group P4/mmm (No. 123)
Inequivalent atoms, fractional coordinates:
1 Tl 0.0000 0.5000 0.0000 [2 per cell]  2 Ga 2.77
2 Ga 0.0000 0.0000 0.0000 [1 per cell]  2 Au 2.39
3 Au 0.0000 0.0000 0.5000 [1 per cell]  2 Ga 2.39
4 S 0.5000 0.5000 0.5000 [1 per cell]  8 Tl 3.66, 4 Au 3.92

magnetization: 0.00 μB per formula unit
ΔE_f (raw): 289 meV per atom

No. 5
MoP3 | PBE | optimized geometry

a = 3.2700 Å, b = 5.0096 Å, c = 3.8034 Å
α = 90.00°, β = 90.00°, γ = 90.00°
With the nearest neighbours (Å) after each atom.
Space group Pmm2 (No. 25)
Inequivalent atoms, fractional coordinates:
1 Mo 0.0000 0.0000 0.0000 [1 per cell]  6 P 2.44-2.58
2 P 0.0000 0.5000 0.0510 [1 per cell]  2 P 2.22
3 P 0.5000 0.0000 0.4751 [1 per cell]  4 Mo 2.44-2.58, 2 P 2.60
4 P 0.5000 0.5000 0.6573 [1 per cell]  2 P 2.22

energy above the most stable polymorph in this dataset: 396 meV/atom
ΔE_f: 59 kJ/mol of formula units
magnetization: 0.00 μB per formula unit

No. 6
KAcBiAu | PBE | optimized geometry

a = 8.0825 Å, b = 8.0825 Å, c = 8.0825 Å
α = 90.00°, β = 90.00°, γ = 90.00°
With the nearest neighbours (Å) after each atom.
Space group F-43m (No. 216)
Inequivalent atoms, fractional coordinates:
1 K 0.0000 0.0000 0.0000 [4 per cell]  4 Bi 3.50, 4 Au 3.50
2 Ac 0.0000 0.0000 0.5000 [4 per cell]  4 Bi 3.50, 4 Au 3.50
3 Bi 0.2500 0.2500 0.2500 [4 per cell]  4 Ac 3.50, 4 K 3.50
4 Au 0.2500 0.2500 0.7500 [4 per cell]  4 K 3.50, 4 Ac 3.50

ΔE_f: -235 kJ/mol of formula units
magnetization: 0.00 μB per formula unit

No. 7
Cs2Zn2Au | PBE | optimized geometry

a = 4.0193 Å, b = 4.0193 Å, c = 22.4384 Å
α = 90.00°, β = 90.00°, γ = 90.00°
With the nearest neighbours (Å) after each atom.
Space group I4/mmm (No. 139)
Inequivalent atoms, fractional coordinates:
1 Cs 0.0000 0.0000 0.1012 [4 per cell]  4 Au 3.64, 4 Zn 3.90, 4 Cs 4.02
2 Zn 0.0000 0.5000 0.2500 [4 per cell]  4 Zn 2.84
3 Au 0.0000 0.0000 0.5000 [2 per cell]  8 Cs 3.64, 4 Au 4.02

energy above the most stable polymorph in this dataset: 151 meV/atom
ΔE_f: 4 kJ/mol of formula units
magnetization: 0.00 μB per formula unit

No. 8
Pr5Ga3 | PBE | optimized geometry

a = 7.9036 Å, b = 7.9036 Å, c = 14.8122 Å
α = 90.00°, β = 90.00°, γ = 90.00°
With the nearest neighbours (Å) after each atom.
Space group I4/mcm (No. 140)
Inequivalent atoms, fractional coordinates:
1 Pr 0.0000 0.0000 0.0000 [4 per cell]  4 Ga 3.17
2 Pr 0.1745 0.3255 0.1493 [16 per cell]  5 Ga 3.22-3.28, 1 Pr 3.43
3 Ga 0.0000 0.0000 0.2500 [4 per cell]  8 Pr 3.28
4 Ga 0.1164 0.3836 0.5000 [8 per cell]  1 Ga 2.60

energy above the most stable polymorph in this dataset: 13 meV/atom
ΔE_f: -337 kJ/mol of formula units
magnetization: 0.00 μB per formula unit

No. 9
Y2Mn2Sb | PBE | optimized geometry

a = 6.9684 Å, b = 6.9684 Å, c = 4.3087 Å
α = 90.00°, β = 90.00°, γ = 90.00°
With the nearest neighbours (Å) after each atom.
Space group P4/mbm (No. 127)
Inequivalent atoms, fractional coordinates:
1 Y 0.1820 0.3180 0.0000 [4 per cell]  6 Mn 2.99-3.01, 4 Sb 3.34
2 Mn 0.1043 0.6043 0.5000 [4 per cell]  1 Mn 2.06
3 Sb 0.0000 0.0000 0.5000 [2 per cell]  4 Mn 2.85

magnetization: 2.73 μB per formula unit
ΔE_f (raw): -160 meV per atom

No. 10
Al2RhBr | PBE | optimized geometry

a = 3.1749 Å, b = 3.2170 Å, c = 14.9968 Å
α = 90.00°, β = 90.00°, γ = 90.00°
With the nearest neighbours (Å) after each atom.
Space group Imm2 (No. 44)
Inequivalent atoms, fractional coordinates:
1 Al 0.0000 0.0000 0.0000 [2 per cell]  4 Rh 2.55, 2 Br 2.75
2 Al 0.0000 0.5000 0.2952 [2 per cell]  2 Rh 2.48
3 Rh 0.0000 0.0000 0.4215 [2 per cell]  6 Al 2.48-2.55
4 Br 0.0000 0.5000 0.6495 [2 per cell]  2 Al 2.75

energy above the most stable polymorph in this dataset: 189 meV/atom
magnetization: 0.00 μB per formula unit
ΔE_f (raw): -326 meV per atom

No. 11
PuTl2ZnF6 | PBE | optimized geometry

a = 6.3108 Å, b = 8.8795 Å, c = 6.3457 Å
α = 90.00°, β = 90.00°, γ = 90.00°
With the nearest neighbours (Å) after each atom.
Space group Pmmn (No. 59, origin choice 2)
Inequivalent atoms, fractional coordinates:
1 Pu 0.2500 0.2500 0.2174 [2 per cell]  6 F 2.32-2.44
2 Tl 0.2500 0.0032 0.7365 [4 per cell]  11 F 2.93-3.23
3 Zn 0.2500 0.7500 0.2691 [2 per cell]  6 F 2.10-2.11
4 F 0.0034 0.7500 0.4914 [4 per cell]  1 Zn 2.10
5 F 0.0243 0.7500 0.0253 [4 per cell]  1 Zn 2.10, 1 Pu 2.32
6 F 0.2500 0.5130 0.2756 [4 per cell]  1 Zn 2.11

magnetization: 5.70 μB per formula unit
ΔE_f (raw): -2353 meV per atom

No. 12
BaLa5Cd6 | PBE | optimized geometry

a = 5.6184 Å, b = 16.9183 Å, c = 7.9800 Å
α = 90.00°, β = 90.00°, γ = 90.00°
With the nearest neighbours (Å) after each atom.
Space group Cmmm (No. 65)
Inequivalent atoms, fractional coordinates:
1 Ba 0.0000 0.0000 0.0000 [2 per cell]  8 Cd 3.51-3.58
2 La 0.0000 0.0000 0.5000 [2 per cell]  8 Cd 3.38-3.52
3 La 0.0000 0.3337 0.0000 [4 per cell]  8 Cd 3.40-3.52
4 La 0.0000 0.3357 0.5000 [4 per cell]  8 Cd 3.36-3.42
5 Cd 0.0000 0.1733 0.2569 [8 per cell]  7 La 3.36-3.52, 1 Ba 3.58
6 Cd 0.0000 0.5000 0.2643 [4 per cell]  6 La 3.36-3.52, 2 Ba 3.51

ΔE_f: -354 kJ/mol of formula units
magnetization: 0.67 μB per formula unit

No. 13
ZnPtPb2 | PBE | optimized geometry

a = 3.4129 Å, b = 5.2412 Å, c = 10.3324 Å
α = 90.00°, β = 90.00°, γ = 90.00°
With the nearest neighbours (Å) after each atom.
Space group Imm2 (No. 44)
Inequivalent atoms, fractional coordinates:
1 Zn 0.0000 0.0000 0.0000 [2 per cell]  2 Pt 2.56
2 Pt 0.0000 0.5000 0.3149 [2 per cell]  2 Zn 2.56
3 Pb 0.0000 0.0000 0.5742 [2 per cell]  2 Pt 3.02, 4 Zn 3.22, 2 Pb 3.37
4 Pb 0.0000 0.5000 0.7797 [2 per cell]  4 Pt 3.15, 4 Zn 3.36-3.47, 6 Pb 3.37-3.49

ΔE_f: 2 kJ/mol of formula units
magnetization: 0.00 μB per formula unit

No. 14
HRu2RhN | PBE | optimized geometry

a = 4.7128 Å, b = 4.7128 Å, c = 3.0478 Å
α = 90.00°, β = 90.00°, γ = 90.00°
With the nearest neighbours (Å) after each atom.
Space group P4/mmm (No. 123)
Inequivalent atoms, fractional coordinates:
1 H 0.0000 0.0000 0.0000 [1 per cell]  2 Rh 1.52
2 Ru 0.0000 0.5000 0.5000 [2 per cell]  2 Rh 2.36
3 Rh 0.0000 0.0000 0.5000 [1 per cell]  2 H 1.52
4 N 0.5000 0.5000 0.0000 [1 per cell]  8 Ru 2.81, 2 N 3.05

energy above the most stable polymorph in this dataset: 709 meV/atom
magnetization: 1.76 μB per formula unit

No. 15
NaLi2MgAu | PBE | optimized geometry

a = 5.0140 Å, b = 5.0140 Å, c = 5.1807 Å
α = 90.00°, β = 90.00°, γ = 90.00°
With the nearest neighbours (Å) after each atom.
Space group P4/mmm (No. 123)
Inequivalent atoms, fractional coordinates:
1 Na 0.0000 0.0000 0.0000 [1 per cell]  4 Mg 3.55, 8 Li 3.60
2 Li 0.0000 0.5000 0.5000 [2 per cell]  2 Au 2.51
3 Mg 0.5000 0.5000 0.0000 [1 per cell]  2 Au 2.59
4 Au 0.5000 0.5000 0.5000 [1 per cell]  4 Li 2.51, 2 Mg 2.59

ΔE_f: -80 kJ/mol of formula units
magnetization: 0.00 μB per formula unit

No. 16
BaEr4Pt3O12 | PBE | optimized geometry

a = 8.2497 Å, b = 8.2497 Å, c = 8.2497 Å
α = 90.00°, β = 90.00°, γ = 90.00°
With the nearest neighbours (Å) after each atom.
Space group Im-3 (No. 204)
Inequivalent atoms, fractional coordinates:
1 Ba 0.0000 0.0000 0.0000 [2 per cell]  12 O 2.94
2 Er 0.2500 0.2500 0.2500 [8 per cell]  6 O 2.26
3 Pt 0.0000 0.0000 0.5000 [6 per cell]  4 O 2.00
4 O 0.0000 0.3179 0.1607 [24 per cell]  1 Pt 2.00

magnetization: 3.69 μB per formula unit
ΔE_f (raw): -2179 meV per atom

No. 17
Ca2MgCl | PBE | optimized geometry

a = 8.1992 Å, b = 8.1905 Å, c = 3.5570 Å
α = 90.00°, β = 90.12°, γ = 90.00°
With the nearest neighbours (Å) after each atom.
Space group C2/m (No. 12)
Inequivalent atoms, fractional coordinates:
1 Ca 0.2500 0.2500 0.0000 [4 per cell]  4 Cl 3.40, 4 Mg 3.40, 2 Ca 3.56
2 Mg 0.0000 0.0000 0.5000 [2 per cell]  8 Ca 3.40, 2 Mg 3.56
3 Cl 0.0000 0.5000 0.5000 [2 per cell]  8 Ca 3.40, 2 Cl 3.56

energy above the most stable polymorph in this dataset: 201 meV/atom
magnetization: 0.00 μB per formula unit
ΔE_f (raw): -609 meV per atom

No. 18
CuOsRh | PBE | optimized geometry

a = 2.7165 Å, b = 2.7165 Å, c = 12.9108 Å
α = 90.00°, β = 90.00°, γ = 120.00°
With the nearest neighbours (Å) after each atom.
Space group P3m1 (No. 156)
Inequivalent atoms, fractional coordinates:
1 Cu 0.0000 0.0000 0.0000 [1 per cell]  9 Cu 2.54-2.72, 3 Rh 2.67
2 Cu 0.3333 0.6667 0.1552 [1 per cell]  9 Cu 2.54-2.72, 3 Rh 2.68
3 Os 0.3333 0.6667 0.6622 [1 per cell]  9 Os 2.65-2.72, 3 Rh 2.70
4 Os 0.6667 0.3333 0.4964 [1 per cell]  9 Os 2.65-2.72, 3 Rh 2.73
5 Rh 0.0000 0.0000 0.3230 [1 per cell]  3 Cu 2.68, 6 Rh 2.72, 3 Os 2.73
6 Rh 0.6667 0.3333 0.8323 [1 per cell]  3 Cu 2.67, 3 Os 2.70, 6 Rh 2.72

energy above the most stable polymorph in this dataset: 0 meV/atom
ΔE_f: 10 kJ/mol of formula units
magnetization: 0.00 μB per formula unit

No. 19
Ho2NiP | PBE | optimized geometry

a = 3.7166 Å, b = 3.7166 Å, c = 25.0374 Å
α = 90.00°, β = 90.00°, γ = 120.00°
With the nearest neighbours (Å) after each atom.
Space group R-3m (No. 166, hexagonal axes)
Inequivalent atoms, fractional coordinates:
1 Ho 0.0000 0.0000 0.1012 [6 per cell]  1 Ni 2.53, 3 P 2.70
2 Ni 0.0000 0.0000 0.0000 [3 per cell]  2 Ho 2.53
3 P 0.0000 0.0000 0.5000 [3 per cell]  6 Ho 2.70

ΔE_f: -83 kJ/mol of formula units
magnetization: 0.00 μB per formula unit

No. 20
P2PbIO | PBE | optimized geometry

a = 5.4362 Å, b = 5.4362 Å, c = 4.2206 Å
α = 90.00°, β = 90.00°, γ = 90.00°
With the nearest neighbours (Å) after each atom.
Space group P4/mmm (No. 123)
Inequivalent atoms, fractional coordinates:
1 P 0.0000 0.5000 0.0000 [2 per cell]  2 Pb 2.72
2 Pb 0.0000 0.0000 0.0000 [1 per cell]  2 O 2.11
3 I 0.5000 0.5000 0.5000 [1 per cell]  8 P 3.44, 4 O 3.84
4 O 0.0000 0.0000 0.5000 [1 per cell]  2 Pb 2.11

energy above the most stable polymorph in this dataset: 0 meV/atom
magnetization: 0.84 μB per formula unit
ΔE_f (raw): 782 meV per atom